# 1
Here is a relaxed TbPa4N5 crystal from Alexandria via LeMat-Bulk. Energies are from PBE.

Structure (CIF):
```
data_TbPa4N5
_chemical_formula_sum 'Tb2 Pa8 N10'
_symmetry_space_group_name_H-M 'I 4/m'
_symmetry_Int_Tables_number 87
_symmetry_space_group_name_Hall '-I 4'
_cell_length_a 7.8190
_cell_length_b 7.8190
_cell_length_c 4.9451
_cell_angle_alpha 90.00
_cell_angle_beta 90.00
_cell_angle_gamma 90.00
loop_
_atom_site_label
_atom_site_type_symbol
_atom_site_fract_x
_atom_site_fract_y
_atom_site_fract_z
_atom_site_occupancy
Tb1 Tb 0.0000 0.0000 0.0000 1
Pa1 Pa 0.1012 0.2990 0.5000 1
N1 N 0.0000 0.0000 0.5000 1
N2 N 0.1011 0.3015 0.0000 1
```

Properties
ρ (g cm⁻³): 12.7
Spin magnetization (μB/f.u.): 0.000
E_form (uncorrected) (eV per formula unit): -16.4
V (Å³ per cell): 302
Crystal system: tetragonal
Density of states at the Fermi level (states/eV/cell): 13.32

***

# 2
Here is a relaxed Ti7In2Hg2 crystal from Alexandria via LeMat-Bulk. Energies are from PBE.

Structure (CIF):
```
data_Ti7In2Hg2
_chemical_formula_sum 'Ti14 In4 Hg4'
_symmetry_space_group_name_H-M 'C 1 2/m 1'
_symmetry_Int_Tables_number 12
_cell_length_a 9.2636
_cell_length_b 9.4683
_cell_length_c 5.2790
_cell_angle_alpha 90.00
_cell_angle_beta 113.61
_cell_angle_gamma 90.00
loop_
_symmetry_equiv_pos_as_xyz
'x,y,z'
'-x,-y,-z'
'-x,y,-z'
'x,-y,z'
'x+1/2,y+1/2,z'
'-x+1/2,-y+1/2,-z'
'-x+1/2,y+1/2,-z'
'x+1/2,-y+1/2,z'
loop_
_atom_site_label
_atom_site_type_symbol
_atom_site_fract_x
_atom_site_fract_y
_atom_site_fract_z
_atom_site_occupancy
Ti1 Ti 0.0000 0.0000 0.0000 1
Ti2 Ti 0.0930 0.5000 0.8306 1
Ti3 Ti 0.1623 0.2505 0.1495 1
In1 In 0.0000 0.2188 0.5000 1
Hg1 Hg 0.2458 0.0000 0.5423 1
```

Properties
E_form (eV per atom): 0.074
ρ (g cm⁻³): 7.6
Spin magnetization (μB/f.u.): 2.693
V (Å³ per cell): 424
Crystal system: monoclinic
Density of states at the Fermi level (states/eV/cell): 26.84

***

# 3
Here is a relaxed Tb2Be3Cu17 crystal from Alexandria via LeMat-Bulk. Energies are from PBE.

Structure (CIF):
```
data_Tb2Be3Cu17
_chemical_formula_sum 'Tb6 Be9 Cu51'
_symmetry_space_group_name_H-M 'R -3 m'
_symmetry_Int_Tables_number 166
_symmetry_space_group_name_Hall '-R 3 2"'
_cell_length_a 9.0041
_cell_length_b 9.0041
_cell_length_c 12.7773
_cell_angle_alpha 90.00
_cell_angle_beta 90.00
_cell_angle_gamma 120.00
loop_
_atom_site_label
_atom_site_type_symbol
_atom_site_fract_x
_atom_site_fract_y
_atom_site_fract_z
_atom_site_occupancy
Tb1 Tb 0.0000 0.0000 0.1694 1
Be1 Be 0.0000 0.5000 0.5000 1
Cu1 Cu 0.0000 0.0000 0.4031 1
Cu2 Cu 0.0000 0.2702 0.5000 1
Cu3 Cu 0.0000 0.5000 0.0000 1
Cu4 Cu 0.0018 0.5009 0.6656 1
```

Properties
E_form (eV per atom): 0.099
ρ (g cm⁻³): 7.9
Spin magnetization (μB/f.u.): 0.000
V (Å³ per cell): 897
Crystal system: trigonal
Density of states at the Fermi level (states/eV/cell): 34.94

***

# 4
Here is a relaxed Zr2CdGaGe crystal from Alexandria via LeMat-Bulk. Energies are from PBE.

Structure (CIF):
```
data_Zr2CdGaGe
_chemical_formula_sum 'Zr2 Cd1 Ga1 Ge1'
_symmetry_space_group_name_H-M 'P 4/m m m'
_symmetry_Int_Tables_number 123
_symmetry_space_group_name_Hall '-P 4 2'
_cell_length_a 5.0904
_cell_length_b 5.0904
_cell_length_c 4.8412
_cell_angle_alpha 90.00
_cell_angle_beta 90.00
_cell_angle_gamma 90.00
loop_
_atom_site_label
_atom_site_type_symbol
_atom_site_fract_x
_atom_site_fract_y
_atom_site_fract_z
_atom_site_occupancy
Zr1 Zr 0.0000 0.5000 0.0000 1
Cd1 Cd 0.0000 0.0000 0.5000 1
Ga1 Ga 0.5000 0.5000 0.5000 1
Ge1 Ge 0.0000 0.0000 0.0000 1
```

Properties
E_form (eV per atom): 0.345
ρ (g cm⁻³): 5.8
Spin magnetization (μB/f.u.): 0.000
V (Å³ per cell): 125
Crystal system: tetragonal
Density of states at the Fermi level (states/eV/cell): 5.10

***

# 5
Here is a relaxed TaMnCu crystal from Alexandria via LeMat-Bulk. Energies are from PBE.

Structure (CIF):
```
data_TaMnCu
_chemical_formula_sum 'Ta2 Mn2 Cu2'
_symmetry_space_group_name_H-M 'I 4 m m'
_symmetry_Int_Tables_number 107
_symmetry_space_group_name_Hall 'I 4 -2'
_cell_length_a 2.8016
_cell_length_b 2.8016
_cell_length_c 11.2095
_cell_angle_alpha 90.00
_cell_angle_beta 90.00
_cell_angle_gamma 90.00
loop_
_atom_site_label
_atom_site_type_symbol
_atom_site_fract_x
_atom_site_fract_y
_atom_site_fract_z
_atom_site_occupancy
Ta1 Ta 0.0000 0.0000 0.0000 1
Mn1 Mn 0.0000 0.0000 0.6767 1
Cu1 Cu 0.0000 0.0000 0.3261 1
```

Properties
E_form (eV per atom): 0.152
ρ (g cm⁻³): 11.3
Spin magnetization (μB/f.u.): 3.333
V (Å³ per cell): 88
Crystal system: tetragonal
Density of states at the Fermi level (states/eV/cell): 5.41
Excess energy over the best structure of this formula in the dataset (meV per atom): 41

***

# 6
Here is a relaxed PrMg2GeN4 crystal from Alexandria via LeMat-Bulk. Energies are from PBE.

Structure (CIF):
```
data_PrMg2GeN4
_chemical_formula_sum 'Pr2 Mg4 Ge2 N8'
_symmetry_space_group_name_H-M 'I -4 2 m'
_symmetry_Int_Tables_number 121
_symmetry_space_group_name_Hall 'I -4 2'
_cell_length_a 5.5042
_cell_length_b 5.5042
_cell_length_c 7.0149
_cell_angle_alpha 90.00
_cell_angle_beta 90.00
_cell_angle_gamma 90.00
loop_
_atom_site_label
_atom_site_type_symbol
_atom_site_fract_x
_atom_site_fract_y
_atom_site_fract_z
_atom_site_occupancy
Pr1 Pr 0.0000 0.0000 0.0000 1
Mg1 Mg 0.0000 0.5000 0.2500 1
Ge1 Ge 0.0000 0.0000 0.5000 1
N1 N 0.2050 0.2050 0.6434 1
```

Properties
ρ (g cm⁻³): 5.0
Spin magnetization (μB/f.u.): 0.919
E_form (uncorrected) (eV per formula unit): -4.5
V (Å³ per cell): 213
Crystal system: tetragonal
Density of states at the Fermi level (states/eV/cell): 11.31